Entry 1:
First-principles (GGA-PBE) data for CaNdPd2 after structural relaxation, as listed in the Alexandria database.

## Properties
DFT formation energy = -2.298 eV/f.u.

The structure in CIF format:
```
data_CaNdPd2
_space_group_name_H-M_alt 'R 3 m'
_space_group_IT_number 160
_space_group_name_Hall 'R 3 -2"'
_cell_length_a 4.0793
_cell_length_b 4.0793
_cell_length_c 21.5934
_cell_angle_alpha 90.00
_cell_angle_beta 90.00
_cell_angle_gamma 120.00
loop_
_atom_site_label
_atom_site_fract_x
_atom_site_fract_y
_atom_site_fract_z
Ca1 0.0000 0.0000 0.0000
Nd1 0.0000 0.0000 0.1716
Pd1 0.0000 0.0000 0.5871
Pd2 0.0000 0.0000 0.7529
```

=====

Entry 2:
First-principles (GGA-PBE) data for CeDyBr5 after structural relaxation, as listed in the Alexandria database.

## Properties
energy relative to the elements, uncorrected = -1.77 eV/atom

The structure in CIF format:
```
data_CeDyBr5
_space_group_name_H-M_alt 'P 1 21/m 1'
_space_group_IT_number 11
_space_group_name_Hall '-P 2yb'
_cell_length_a 8.388
_cell_length_b 4.064
_cell_length_c 13.700
_cell_angle_alpha 90.00
_cell_angle_beta 93.12
_cell_angle_gamma 90.00
loop_
_atom_site_label
_atom_site_fract_x
_atom_site_fract_y
_atom_site_fract_z
Ce1 0.092 0.250 0.154
Dy1 0.418 0.750 0.347
Br1 0.069 0.750 0.317
Br2 0.148 0.250 0.929
Br3 0.322 0.250 0.484
Br4 0.355 0.750 0.135
Br5 0.367 0.750 0.708
```

=====

Entry 3:
First-principles (GGA-PBE) data for LiHoAlCd after structural relaxation, as listed in the Alexandria database.

## Properties
DFT formation energy = -0.913 eV/f.u.

The structure in CIF format:
```
data_LiHoAlCd
_space_group_name_H-M_alt 'F -4 3 m'
_space_group_IT_number 216
_space_group_name_Hall 'F -4 2 3'
_cell_length_a 6.856
_cell_length_b 6.856
_cell_length_c 6.856
_cell_angle_alpha 90.00
_cell_angle_beta 90.00
_cell_angle_gamma 90.00
loop_
_atom_site_label
_atom_site_fract_x
_atom_site_fract_y
_atom_site_fract_z
Li1 0.000 0.000 0.000
Ho1 0.250 0.250 0.250
Al1 0.000 0.000 0.500
Cd1 0.250 0.250 0.750
```

=====

Entry 4:
First-principles (GGA-PBE) data for CdTeSe after structural relaxation, as listed in the Alexandria database.

## Properties
energy relative to the elements, uncorrected = -0.31 eV/atom

The structure in CIF format:
```
data_CdTeSe
_space_group_name_H-M_alt 'P 1 21/m 1'
_space_group_IT_number 11
_space_group_name_Hall '-P 2yb'
_cell_length_a 5.271
_cell_length_b 4.223
_cell_length_c 8.322
_cell_angle_alpha 90.00
_cell_angle_beta 98.37
_cell_angle_gamma 90.00
loop_
_atom_site_label
_atom_site_fract_x
_atom_site_fract_y
_atom_site_fract_z
Cd1 0.170 0.250 0.157
Te1 0.394 0.750 0.594
Se1 0.153 0.250 0.830
```

=====

Number 1: total energy -4.86 eV per atom. Number 2: total energy -4.47 eV per atom. Number 3: total energy -3.02 eV per atom. Number 4: total energy -2.82 eV per atom.